VASP calculation (PBE) on a relaxed structure of LiTi3O4.

The structure in POSCAR format:
```
LiTi3O4
1.0
3.0078 -4.1554 0.0000
3.0078 4.1554 0.0000
0.0000 0.0000 2.9861
Li Ti O
1 3 4
Cartesian
0.0000 0.0000 0.0000 Li
1.5039 2.0777 1.4931 Ti
1.5039 -2.0777 1.4931 Ti
3.0078 0.0000 0.0000 Ti
3.0078 2.1636 0.0000 O
1.4770 0.0000 1.4931 O
4.5385 0.0000 1.4931 O
3.0078 -2.1636 0.0000 O
```

* energy relative to the elements, uncorrected: -2505 meV/atom
* energy relative to the lowest polymorph listed for this composition: 0 meV per atom
* crystal system: orthorhombic

VASP calculation (PBE) on a relaxed structure of BaZrRh2.

The structure in POSCAR format:
```
BaZrRh2
1.0
3.6793 0.0000 0.0000
0.0000 3.6793 0.0000
0.0000 0.0000 7.3161
Ba Zr Rh
1 1 2
Cartesian
0.0000 0.0000 0.0000 Ba
1.8396 1.8396 4.1958 Zr
0.0000 0.0000 3.4825 Rh
1.8396 1.8396 1.7889 Rh
```

* ΔH_f (0 K): -0.06 eV per atom
* crystal system: tetragonal

VASP calculation (PBE) on a relaxed structure of ZnFeTe2I.

The structure in POSCAR format:
```
ZnFeTe2I
1.0
5.2743 0.0000 0.0000
0.0000 5.2743 0.0000
0.0000 0.0000 5.5824
Zn Fe Te I
1 1 2 1
Cartesian
0.0000 0.0000 0.0000 Zn
2.6371 2.6371 2.7912 Fe
0.0000 2.6371 0.0000 Te
2.6371 0.0000 0.0000 Te
0.0000 0.0000 2.7912 I
```

* energy relative to the elements, uncorrected: 830 meV/atom
* energy relative to the lowest polymorph listed for this composition: 348 meV per atom
* crystal system: tetragonal

VASP calculation (PBE) on a relaxed structure of Tl2TcW.

The structure in POSCAR format:
```
Tl2TcW
1.0
1.6147 0.9322 9.4438
-1.6147 0.9322 9.4438
0.0000 -1.8645 9.4438
Tl Tc W
2 1 1
Cartesian
0.0000 0.0000 0.0000 Tl
0.0000 0.0000 6.6796 Tl
0.0000 0.0000 13.6384 Tc
0.0000 0.0000 21.4410 W
```

* energy relative to the lowest polymorph listed for this composition: 92 meV per atom
* ΔH_f (0 K): 0.54 eV per atom
* crystal system: trigonal

VASP calculation (PBE) on a relaxed structure of Ba2PtRh.

The structure in POSCAR format:
```
Ba2PtRh
1.0
3.7609 0.0000 0.0000
0.0000 3.7609 0.0000
0.0000 0.0000 9.1112
Ba Pt Rh
2 1 1
Cartesian
0.0000 0.0000 0.0000 Ba
1.8805 1.8805 4.1065 Ba
0.0000 0.0000 6.1820 Pt
1.8805 1.8805 6.9553 Rh
```

* ΔH_f (0 K): -0.08 eV per atom
* crystal system: tetragonal

VASP calculation (PBE) on a relaxed structure of PmNdBi2O8.

The structure in POSCAR format:
```
PmNdBi2O8
1.0
-2.7523 2.7523 5.7789
2.7523 -2.7523 5.7789
2.7523 2.7523 -5.7789
Pm Nd Bi O
1 1 2 8
Cartesian
0.0000 0.0000 0.0000 Pm
0.0000 2.7523 2.8895 Nd
2.7523 0.0000 2.8895 Bi
0.0000 0.0000 5.7789 Bi
1.6817 -1.3874 3.9934 O
1.6672 1.3685 -1.0938 O
1.3649 1.0706 1.7855 O
1.3838 -1.0851 6.8728 O
1.0706 4.1397 -1.7855 O
1.0851 1.3838 4.6851 O
1.3685 3.8374 1.0938 O
1.3874 1.6817 7.5644 O
```

* energy relative to the elements, uncorrected: -1939 meV/atom
* crystal system: tetragonal

VASP calculation (PBE) on a relaxed structure of LaIn2W.

The structure in POSCAR format:
```
LaIn2W
1.0
-2.1964 2.1964 10.7398
2.1964 -2.1964 10.7398
2.1964 2.1964 -10.7398
La In W
2 4 2
Cartesian
0.0000 0.0000 0.0000 La
0.0000 2.1964 5.3699 La
1.0982 -0.9029 8.0549 In
1.2935 1.0982 2.6850 In
1.0982 3.0993 -2.6850 In
0.9029 1.0982 13.4248 In
2.1964 0.0000 5.3699 W
0.0000 0.0000 10.7398 W
```

* energy relative to the lowest polymorph listed for this composition: 407 meV per atom
* ΔH_f (0 K): 0.67 eV per atom
* crystal system: tetragonal

VASP calculation (PBE) on a relaxed structure of LiSm5Tl8.

The structure in POSCAR format:
```
LiSm5Tl8
1.0
-4.6835 4.6835 4.5814
4.6835 -4.6835 4.5814
4.6835 4.6835 -4.5814
Li Sm Tl
1 5 8
Cartesian
0.0000 0.0000 0.0000 Li
3.6106 2.3804 -0.9921 Sm
4.6835 0.0000 2.2907 Sm
2.3032 -1.0729 5.5734 Sm
1.0729 2.3032 3.5893 Sm
2.3804 5.7564 0.9921 Sm
6.4315 0.7224 -0.4589 Tl
1.5293 -0.7180 2.4153 Tl
3.1542 5.4015 -2.1660 Tl
0.7224 2.9355 0.4589 Tl
3.9655 3.1542 2.1660 Tl
3.9611 1.7480 5.0403 Tl
-1.7480 3.9611 4.1224 Tl
0.7180 1.5293 6.7474 Tl
```

* ΔH_f (0 K): -0.26 eV per atom
* crystal system: tetragonal

VASP calculation (PBE) on a relaxed structure of Nd3Y6Tm2Sc.

The structure in POSCAR format:
```
Nd3Y6Tm2Sc
1.0
3.0902 -5.3502 0.0000
3.0902 5.3502 0.0000
-2.0579 0.0000 11.5874
Nd Y Tm Sc
3 6 2 1
Cartesian
0.0000 0.0000 0.0000 Nd
3.0902 1.7825 0.0000 Nd
3.0902 -1.7825 0.0000 Nd
1.0401 1.7715 2.9789 Y
0.0127 0.0000 8.6100 Y
1.0401 -1.7715 2.9789 Y
3.0825 1.7715 8.6085 Y
4.1099 0.0000 2.9774 Y
3.0825 -1.7715 8.6085 Y
2.0613 3.5681 5.7937 Tm
2.0613 -3.5681 5.7937 Tm
2.0613 0.0000 5.7937 Sc
```

* ΔH_f (0 K): 0.03 eV per atom
* crystal system: monoclinic

VASP calculation (PBE) on a relaxed structure of BC2.

The structure in POSCAR format:
```
BC2
1.0
4.6048 0.0000 0.0000
0.0000 2.5804 0.0000
-0.2192 0.0000 6.4741
B C
4 8
Cartesian
0.0000 0.0000 0.0000 B
-0.1316 0.0000 4.2479 B
3.0218 0.0000 2.5842 B
3.9725 1.2902 1.7674 B
0.7591 1.2902 3.9578 C
0.8838 1.2902 2.4032 C
1.5392 0.0000 1.8399 C
1.6029 0.0000 0.2799 C
2.1575 1.2902 4.6466 C
2.1037 1.2902 6.2282 C
2.9079 0.0000 4.1826 C
3.8050 1.2902 0.1912 C
```

* energy relative to the lowest polymorph listed for this composition: 53 meV per atom
* ΔH_f (0 K): 0.29 eV per atom
* crystal system: monoclinic

VASP calculation (PBE) on a relaxed structure of HgP2Ir2.

The structure in POSCAR format:
```
HgP2Ir2
1.0
-1.9348 1.9348 5.6717
1.9348 -1.9348 5.6717
1.9348 1.9348 -5.6717
Hg P Ir
1 2 2
Cartesian
0.0000 0.0000 0.0000 Hg
1.9348 0.0000 2.8358 P
0.0000 1.9348 2.8358 P
0.0000 0.0000 4.1602 Ir
0.0000 0.0000 7.1831 Ir
```

* energy relative to the lowest polymorph listed for this composition: 0 meV per atom
* ΔH_f (0 K): -0.03 eV per atom
* crystal system: tetragonal

VASP calculation (PBE) on a relaxed structure of BaReAs2.

The structure in POSCAR format:
```
BaReAs2
1.0
3.8220 -1.7935 0.0000
3.8220 1.7935 0.0000
-1.7316 0.0000 6.7816
Ba Re As
1 1 2
Cartesian
0.0000 0.0000 0.0000 Ba
2.9562 0.0000 3.3908 Re
0.5945 0.0000 4.5191 As
5.3179 0.0000 2.2625 As
```

* energy relative to the lowest polymorph listed for this composition: 38 meV per atom
* ΔH_f (0 K): -0.22 eV per atom
* crystal system: monoclinic

VASP calculation (PBE) on a relaxed structure of NiIBr2.

The structure in POSCAR format:
```
NiIBr2
1.0
6.4732 0.0000 0.0000
3.2049 5.6376 0.0000
1.8768 0.7282 6.6194
Ni I Br
2 2 4
Cartesian
0.0000 0.0000 0.0000 Ni
3.2838 1.8488 0.0036 Ni
3.0664 2.4673 5.1078 I
6.0530 4.4660 5.0896 I
2.0890 0.2531 1.3831 Br
5.2926 1.6909 1.3769 Br
6.3351 0.8561 5.1758 Br
8.9062 3.8225 1.4168 Br
```

* energy relative to the elements, uncorrected: -188 meV/atom
* energy relative to the lowest polymorph listed for this composition: 0 meV per atom
* crystal system: triclinic

VASP calculation (PBE) on a relaxed structure of Pm3Ga8Ag3.

The structure in POSCAR format:
```
Pm3Ga8Ag3
1.0
-2.1899 4.8061 6.6276
2.1899 -4.8061 6.6276
2.1899 4.8061 -6.6276
Pm Ga Ag
3 8 3
Cartesian
0.0000 0.0000 0.0000 Pm
0.0000 0.0000 3.9981 Pm
0.0000 0.0000 9.2572 Pm
2.1899 -1.2692 2.1132 Ga
2.1899 -2.1081 4.7247 Ga
2.1899 1.2692 2.1132 Ga
0.0000 2.6980 1.9030 Ga
2.1899 2.1081 4.7247 Ga
0.0000 3.5368 4.5145 Ga
0.0000 6.9142 1.9030 Ga
0.0000 6.0753 4.5145 Ga
2.1899 2.8958 0.0000 Ag
0.0000 4.8061 0.0000 Ag
0.0000 1.9102 6.6276 Ag
```

* ΔH_f (0 K): -0.49 eV per atom
* crystal system: orthorhombic

VASP calculation (PBE) on a relaxed structure of Li3TiB2O6.

The structure in POSCAR format:
```
Li3TiB2O6
1.0
5.1951 0.0000 0.0000
0.0000 8.9791 0.0000
-5.0977 0.0000 9.9111
Li Ti B O
12 4 8 24
Cartesian
-0.8333 0.1681 1.7122 Li
-3.3822 4.3214 6.6677 Li
-4.2499 5.9650 8.7094 Li
-1.7011 7.5036 3.7539 Li
-0.8677 0.0962 5.8817 Li
1.6812 4.3934 0.9262 Li
-1.5838 4.5857 8.9849 Li
0.9651 8.8829 4.0294 Li
1.7985 1.4755 6.1572 Li
4.3473 3.0140 1.2017 Li
3.4796 4.6577 3.2434 Li
0.9307 8.8109 8.1989 Li
-0.7694 5.9488 6.1784 Ti
1.7795 7.5198 1.2229 Ti
-1.6821 1.4592 8.6882 Ti
0.8668 3.0303 3.7327 Ti
-1.6931 1.5477 3.7527 B
-4.2419 2.9418 8.7082 B
1.7601 1.5105 1.2786 B
-0.7888 2.9791 6.2342 B
0.8862 6.0000 3.6769 B
-1.6627 7.4686 8.6325 B
4.3393 6.0373 1.2029 B
1.7905 7.4313 6.1584 B
-3.6485 1.7051 8.4201 O
-1.0996 2.7844 3.4645 O
0.5133 5.9937 0.9449 O
-2.0355 7.4749 5.9004 O
-0.9320 0.3980 3.7750 O
-3.4809 4.0916 8.7305 O
-0.4365 5.9900 4.1061 O
-2.9854 7.4786 9.0617 O
1.0598 0.2932 1.3305 O
-1.4891 4.1963 6.2860 O
-1.4469 1.8273 6.6123 O
1.1020 2.6622 1.6567 O
-1.0046 6.3168 8.2544 O
1.5443 7.1518 3.2988 O
1.5865 4.7827 3.6251 O
-0.9623 8.6859 8.5806 O
3.0828 1.5004 0.8494 O
0.5339 2.9891 5.8050 O
3.5783 4.8875 1.1806 O
1.0294 8.5811 6.1362 O
2.1329 1.5041 4.0107 O
-0.4159 2.9854 8.9662 O
1.1970 6.1947 6.4466 O
3.7459 7.2739 1.4910 O
```

* energy relative to the elements, uncorrected: -2403 meV/atom
* energy relative to the lowest polymorph listed for this composition: 0 meV per atom
* crystal system: monoclinic

VASP calculation (PBE) on a relaxed structure of Li2Os.

The structure in POSCAR format:
```
Li2Os
1.0
5.1288 -1.3113 0.0000
5.1288 1.3113 0.0000
-1.9877 0.0000 6.2966
Li Os
4 2
Cartesian
0.0000 0.0000 0.0000 Li
-0.6748 0.0000 3.8727 Li
2.0241 0.0000 4.1453 Li
6.0743 0.0000 2.0203 Li
3.3387 0.0000 1.7256 Os
5.5844 0.0000 6.0052 Os
```

* ΔH_f (0 K): 0.25 eV per atom
* crystal system: monoclinic

VASP calculation (PBE) on a relaxed structure of KHgBi2Se4.

The structure in POSCAR format:
```
KHgBi2Se4
1.0
2.1801 -7.0626 0.0000
2.1801 7.0626 0.0000
0.0000 0.0000 16.0445
K Hg Bi Se
2 2 4 8
Cartesian
2.1801 5.3388 12.0334 K
2.1801 -5.3388 4.0111 K
2.1801 4.6962 4.0111 Hg
2.1801 -4.6962 12.0334 Hg
2.1801 1.8354 8.9857 Bi
2.1801 1.8354 15.0811 Bi
2.1801 -1.8354 0.9634 Bi
2.1801 -1.8354 7.0588 Bi
0.0000 0.0000 0.0000 Se
0.0000 0.0000 8.0223 Se
2.1801 3.2891 1.6323 Se
2.1801 3.2891 6.3900 Se
2.1801 0.7476 12.0334 Se
2.1801 -0.7476 4.0111 Se
2.1801 -3.2891 9.6545 Se
2.1801 -3.2891 14.4122 Se
```

* energy relative to the elements, uncorrected: -436 meV/atom
* crystal system: orthorhombic

VASP calculation (PBE) on a relaxed structure of TcNi4Cl.

The structure in POSCAR format:
```
TcNi4Cl
1.0
0.0000 3.3980 3.3980
3.3980 0.0000 3.3980
3.3980 3.3980 0.0000
Tc Ni Cl
1 4 1
Cartesian
0.0000 0.0000 0.0000 Tc
2.5436 2.5436 2.5436 Ni
4.2523 4.2523 2.5436 Ni
4.2523 2.5436 4.2523 Ni
2.5436 4.2523 4.2523 Ni
5.0969 5.0969 5.0969 Cl
```

* energy relative to the elements, uncorrected: 608 meV/atom
* crystal system: cubic

VASP calculation (PBE) on a relaxed structure of NaNd2Tm3Se6.

The structure in POSCAR format:
```
NaNd2Tm3Se6
1.0
9.0524 -2.0383 0.0000
9.0524 2.0383 0.0000
-2.0697 0.0000 8.0781
Na Nd Tm Se
1 2 3 6
Cartesian
0.0000 0.0000 0.0000 Na
4.5894 0.0000 5.2896 Nd
11.4456 0.0000 2.7885 Nd
-1.0348 0.0000 4.0390 Tm
5.6796 0.0000 1.3856 Tm
10.3555 0.0000 6.6925 Tm
1.6633 0.0000 4.8089 Se
2.9151 0.0000 0.5812 Se
8.4706 0.0000 2.0813 Se
7.5644 0.0000 5.9968 Se
13.1199 0.0000 7.4969 Se
14.3717 0.0000 3.2691 Se
```

* energy relative to the elements, uncorrected: -1746 meV/atom
* crystal system: monoclinic

VASP calculation (PBE) on a relaxed structure of Nb3SnSe.

The structure in POSCAR format:
```
Nb3SnSe
1.0
4.7698 0.0000 0.0000
0.0000 4.7698 0.0000
0.0000 0.0000 4.7698
Nb Sn Se
3 1 1
Cartesian
0.0000 0.0000 2.3849 Nb
0.0000 2.3849 0.0000 Nb
2.3849 0.0000 0.0000 Nb
2.3849 2.3849 2.3849 Sn
0.0000 0.0000 0.0000 Se
```

* energy relative to the elements, uncorrected: 471 meV/atom
* energy relative to the lowest polymorph listed for this composition: 770 meV per atom
* crystal system: cubic